Record 1
# KAsN2, optimized geometry, DFT PBE-GGA
# * formation energy (no corrections): 2.73 eV/f.u.
# * V: 57.01 Å³/f.u.
data_KAsN2
_symmetry_space_group_name_H-M 'R -3 m'
_symmetry_Int_Tables_number 166
_symmetry_space_group_name_Hall '-R 3 2"'
_cell_length_a 3.0418
_cell_length_b 3.0418
_cell_length_c 21.3434
_cell_angle_alpha 90.00
_cell_angle_beta 90.00
_cell_angle_gamma 120.00
loop_
_atom_site_label
_atom_site_type_symbol
_atom_site_fract_x
_atom_site_fract_y
_atom_site_fract_z
_atom_site_occupancy
K1 K 0.0000 0.0000 0.0000 1
As1 As 0.0000 0.0000 0.5000 1
N1 N 0.0000 0.0000 0.1184 1

---

Record 2
# KAsN2, optimized geometry, DFT PBE-GGA
# * formation energy (no corrections): 2.48 eV/f.u.
# * V: 102.85 Å³/f.u.
data_KAsN2
_symmetry_space_group_name_H-M 'R -3 m'
_symmetry_Int_Tables_number 166
_symmetry_space_group_name_Hall '-R 3 2"'
_cell_length_a 4.3363
_cell_length_b 4.3363
_cell_length_c 18.9475
_cell_angle_alpha 90.00
_cell_angle_beta 90.00
_cell_angle_gamma 120.00
loop_
_atom_site_label
_atom_site_type_symbol
_atom_site_fract_x
_atom_site_fract_y
_atom_site_fract_z
_atom_site_occupancy
K1 K 0.0000 0.0000 0.0000 1
As1 As 0.0000 0.0000 0.5000 1
N1 N 0.0000 0.0000 0.4118 1

---

Record 3
# K3AsN, optimized geometry, DFT PBE-GGA
# * formation energy (no corrections): 2.06 eV/f.u.
# * V: 161.47 Å³/f.u.
# * offset from the most stable computed form: 0 meV per atom
data_K3AsN
_symmetry_space_group_name_H-M 'P m -3 m'
_symmetry_Int_Tables_number 221
_symmetry_space_group_name_Hall '-P 4 2 3'
_cell_length_a 5.4454
_cell_length_b 5.4454
_cell_length_c 5.4454
_cell_angle_alpha 90.00
_cell_angle_beta 90.00
_cell_angle_gamma 90.00
loop_
_atom_site_label
_atom_site_type_symbol
_atom_site_fract_x
_atom_site_fract_y
_atom_site_fract_z
_atom_site_occupancy
K1 K 0.0000 0.0000 0.5000 1
As1 As 0.5000 0.5000 0.5000 1
N1 N 0.0000 0.0000 0.0000 1

---

Record 4
# K2AsN, optimized geometry, DFT PBE-GGA
# * formation energy (no corrections): 3.64 eV/f.u.
# * V: 119.78 Å³/f.u.
# * offset from the most stable computed form: 706 meV per atom
data_K2AsN
_symmetry_space_group_name_H-M 'F m -3 m'
_symmetry_Int_Tables_number 225
_symmetry_space_group_name_Hall '-F 4 2 3'
_cell_length_a 7.8249
_cell_length_b 7.8249
_cell_length_c 7.8249
_cell_angle_alpha 90.00
_cell_angle_beta 90.00
_cell_angle_gamma 90.00
loop_
_atom_site_label
_atom_site_type_symbol
_atom_site_fract_x
_atom_site_fract_y
_atom_site_fract_z
_atom_site_occupancy
K1 K 0.2500 0.2500 0.2500 1
As1 As 0.0000 0.0000 0.0000 1
N1 N 0.0000 0.0000 0.5000 1

---

Record 5
# KAsN, optimized geometry, DFT PBE-GGA
# * formation energy (no corrections): -0.60 eV/f.u.
# * V: 71.94 Å³/f.u.
# * offset from the most stable computed form: 0 meV per atom
data_KAsN
_symmetry_space_group_name_H-M 'P -1'
_symmetry_Int_Tables_number 2
_cell_length_a 3.6417
_cell_length_b 4.2491
_cell_length_c 9.4295
_cell_angle_alpha 87.08
_cell_angle_beta 80.88
_cell_angle_gamma 88.96
loop_
_symmetry_equiv_pos_as_xyz
'x,y,z'
'-x,-y,-z'
loop_
_atom_site_label
_atom_site_type_symbol
_atom_site_fract_x
_atom_site_fract_y
_atom_site_fract_z
_atom_site_occupancy
K1 K 0.1222 0.0944 0.2861 1
As1 As 0.2736 0.3442 0.9511 1
N1 N 0.4935 0.3835 0.5362 1

---

Record 6
# KAsN3, optimized geometry, DFT PBE-GGA
# * formation energy (no corrections): 15.60 eV/f.u.
# * V: 104.98 Å³/f.u.
data_KAsN3
_symmetry_space_group_name_H-M 'P m -3 m'
_symmetry_Int_Tables_number 221
_symmetry_space_group_name_Hall '-P 4 2 3'
_cell_length_a 4.7174
_cell_length_b 4.7174
_cell_length_c 4.7174
_cell_angle_alpha 90.00
_cell_angle_beta 90.00
_cell_angle_gamma 90.00
loop_
_atom_site_label
_atom_site_type_symbol
_atom_site_fract_x
_atom_site_fract_y
_atom_site_fract_z
_atom_site_occupancy
K1 K 0.0000 0.0000 0.0000 1
As1 As 0.5000 0.5000 0.5000 1
N1 N 0.0000 0.0000 0.5000 1

---

Record 7
# KAs2N, optimized geometry, DFT PBE-GGA
# * formation energy (no corrections): 1.78 eV/f.u.
# * V: 89.29 Å³/f.u.
data_KAs2N
_symmetry_space_group_name_H-M 'I -4 2 d'
_symmetry_Int_Tables_number 122
_symmetry_space_group_name_Hall 'I -4 2bw'
_cell_length_a 6.8488
_cell_length_b 6.8488
_cell_length_c 7.6145
_cell_angle_alpha 90.00
_cell_angle_beta 90.00
_cell_angle_gamma 90.00
loop_
_atom_site_label
_atom_site_type_symbol
_atom_site_fract_x
_atom_site_fract_y
_atom_site_fract_z
_atom_site_occupancy
K1 K 0.0000 0.0000 0.0000 1
As1 As 0.1070 0.2500 0.6250 1
N1 N 0.0000 0.0000 0.5000 1

---

Record 8
# KAsNO2, optimized geometry, DFT PBE-GGA
# * formation energy (no corrections): 8.90 eV/f.u.
# * V: 105.93 Å³/f.u.
data_KAsNO2
_symmetry_space_group_name_H-M 'P 4/m m m'
_symmetry_Int_Tables_number 123
_symmetry_space_group_name_Hall '-P 4 2'
_cell_length_a 4.6355
_cell_length_b 4.6355
_cell_length_c 4.9297
_cell_angle_alpha 90.00
_cell_angle_beta 90.00
_cell_angle_gamma 90.00
loop_
_atom_site_label
_atom_site_type_symbol
_atom_site_fract_x
_atom_site_fract_y
_atom_site_fract_z
_atom_site_occupancy
K1 K 0.0000 0.0000 0.0000 1
As1 As 0.5000 0.5000 0.5000 1
N1 N 0.0000 0.0000 0.5000 1
O1 O 0.0000 0.5000 0.0000 1

---

Record 9
# KAsNO2, optimized geometry, DFT PBE-GGA
# * formation energy (no corrections): -1.30 eV/f.u.
# * V: 59.83 Å³/f.u.
data_KAsNO2
_symmetry_space_group_name_H-M 'P 4/m m m'
_symmetry_Int_Tables_number 123
_symmetry_space_group_name_Hall '-P 4 2'
_cell_length_a 3.9270
_cell_length_b 3.9270
_cell_length_c 3.8798
_cell_angle_alpha 90.00
_cell_angle_beta 90.00
_cell_angle_gamma 90.00
loop_
_atom_site_label
_atom_site_type_symbol
_atom_site_fract_x
_atom_site_fract_y
_atom_site_fract_z
_atom_site_occupancy
K1 K 0.0000 0.0000 0.0000 1
As1 As 0.5000 0.5000 0.5000 1
N1 N 0.5000 0.5000 0.0000 1
O1 O 0.0000 0.5000 0.5000 1

---

Record 10
# KPa2As2N6, optimized geometry, DFT PBE-GGA
# * formation energy (no corrections): -4.96 eV/f.u.
# * V: 208.07 Å³/f.u.
data_KPa2As2N6
_symmetry_space_group_name_H-M 'P -1'
_symmetry_Int_Tables_number 2
_cell_length_a 6.3982
_cell_length_b 6.6642
_cell_length_c 6.6854
_cell_angle_alpha 61.46
_cell_angle_beta 61.52
_cell_angle_gamma 61.33
loop_
_symmetry_equiv_pos_as_xyz
'x,y,z'
'-x,-y,-z'
loop_
_atom_site_label
_atom_site_type_symbol
_atom_site_fract_x
_atom_site_fract_y
_atom_site_fract_z
_atom_site_occupancy
K1 K 0.0000 0.0000 0.0000 1
Pa1 Pa 0.3170 0.3078 0.0581 1
As1 As 0.3821 0.6888 0.5454 1
N1 N 0.0843 0.6399 0.7625 1
N2 N 0.4312 0.8993 0.2354 1
N3 N 0.4895 0.3582 0.2369 1

---

Record 11
# KAsPdN2, optimized geometry, DFT PBE-GGA
# * formation energy (no corrections): 13.81 eV/f.u.
# * V: 95.91 Å³/f.u.
data_KAsPdN2
_symmetry_space_group_name_H-M 'P 4/m m m'
_symmetry_Int_Tables_number 123
_symmetry_space_group_name_Hall '-P 4 2'
_cell_length_a 4.3072
_cell_length_b 4.3072
_cell_length_c 5.1698
_cell_angle_alpha 90.00
_cell_angle_beta 90.00
_cell_angle_gamma 90.00
loop_
_atom_site_label
_atom_site_type_symbol
_atom_site_fract_x
_atom_site_fract_y
_atom_site_fract_z
_atom_site_occupancy
K1 K 0.0000 0.0000 0.0000 1
As1 As 0.5000 0.5000 0.5000 1
Pd1 Pd 0.0000 0.0000 0.5000 1
N1 N 0.0000 0.5000 0.0000 1

---

Record 12
# K2AsRuN, optimized geometry, DFT PBE-GGA
# * formation energy (no corrections): 6.91 eV/f.u.
# * V: 178.17 Å³/f.u.
data_K2AsRuN
_symmetry_space_group_name_H-M 'P 4/m m m'
_symmetry_Int_Tables_number 123
_symmetry_space_group_name_Hall '-P 4 2'
_cell_length_a 6.2327
_cell_length_b 6.2327
_cell_length_c 4.5864
_cell_angle_alpha 90.00
_cell_angle_beta 90.00
_cell_angle_gamma 90.00
loop_
_atom_site_label
_atom_site_type_symbol
_atom_site_fract_x
_atom_site_fract_y
_atom_site_fract_z
_atom_site_occupancy
K1 K 0.0000 0.5000 0.0000 1
As1 As 0.0000 0.0000 0.0000 1
Ru1 Ru 0.0000 0.0000 0.5000 1
N1 N 0.5000 0.5000 0.5000 1

---

Record 13
# KAsSN2, optimized geometry, DFT PBE-GGA
# * formation energy (no corrections): 9.50 eV/f.u.
# * V: 92.24 Å³/f.u.
# * offset from the most stable computed form: 948 meV per atom
data_KAsSN2
_symmetry_space_group_name_H-M 'P 4/m m m'
_symmetry_Int_Tables_number 123
_symmetry_space_group_name_Hall '-P 4 2'
_cell_length_a 4.0630
_cell_length_b 4.0630
_cell_length_c 5.5879
_cell_angle_alpha 90.00
_cell_angle_beta 90.00
_cell_angle_gamma 90.00
loop_
_atom_site_label
_atom_site_type_symbol
_atom_site_fract_x
_atom_site_fract_y
_atom_site_fract_z
_atom_site_occupancy
K1 K 0.0000 0.0000 0.0000 1
As1 As 0.5000 0.5000 0.0000 1
S1 S 0.0000 0.0000 0.5000 1
N1 N 0.0000 0.5000 0.5000 1

---

Record 14
# KAsSN2, optimized geometry, DFT PBE-GGA
# * formation energy (no corrections): 11.93 eV/f.u.
# * V: 138.38 Å³/f.u.
# * offset from the most stable computed form: 1434 meV per atom
data_KAsSN2
_symmetry_space_group_name_H-M 'P 4/m m m'
_symmetry_Int_Tables_number 123
_symmetry_space_group_name_Hall '-P 4 2'
_cell_length_a 4.7888
_cell_length_b 4.7888
_cell_length_c 6.0342
_cell_angle_alpha 90.00
_cell_angle_beta 90.00
_cell_angle_gamma 90.00
loop_
_atom_site_label
_atom_site_type_symbol
_atom_site_fract_x
_atom_site_fract_y
_atom_site_fract_z
_atom_site_occupancy
K1 K 0.0000 0.0000 0.0000 1
As1 As 0.5000 0.5000 0.5000 1
S1 S 0.0000 0.0000 0.5000 1
N1 N 0.0000 0.5000 0.0000 1